The following is a PBE-GGA calculation of a relaxed structure of RbSiB2F, from Alexandria.

Computed properties:
Formation energy without anion corrections (eV/atom): 0.14
Raw total energy (eV/atom): -4.18
Crystal system: tetragonal
Magnetization (μB/cell): 0.00
Density (g/cm³): 2.0
SG: P4/mmm, No. 123

Unit cell a=3.9071 b=3.9071 c=8.5638 alpha=90.00 beta=90.00 gamma=90.00
Fractional coordinates of all 5 atoms:
Rb 0.0000 0.0000 0.0000
Si 0.0000 0.0000 0.5000
B 0.0000 0.5000 0.5000
B 0.5000 0.0000 0.5000
F 0.5000 0.5000 0.0000